DFT (SCAN) results for a crystal of ZnCdCo2Rh relaxed with PBEsol.

Lattice parameters (Å, degrees): 4.488 4.488 4.625 90.00 90.00 90.00
Positions (direct):
Co: 0.500 0.000 0.000
Co: 0.000 0.500 0.000
Zn: 0.000 0.000 0.500
Rh: 0.000 0.000 0.000
Cd: 0.500 0.500 0.500

Output
Energy of formation from the pure elements in kJ/mol of atoms: 80
Symmetry: P4/mmm (123)